No. 1
FeBiNO2: optimized geometry, GGA+U.

Cell and atoms, written as POSCAR:
```
FeBiNO2
1.0
4.1964 0.0000 0.0000
0.0000 4.1964 0.0000
0.0000 0.0000 4.2860
Fe Bi N O
1 1 1 2
Direct
0.0000 0.0000 0.0000 Fe
0.5000 0.5000 0.5000 Bi
0.5000 0.5000 0.0000 N
0.0000 0.5000 0.5000 O
0.5000 0.0000 0.5000 O
```

=====

No. 2
FeBiN2O: optimized geometry, GGA+U.

Cell and atoms, written as POSCAR:
```
FeBiN2O
1.0
3.8818 0.0000 0.0000
0.0000 3.8818 0.0000
0.0000 0.0000 3.9518
Fe Bi N O
1 1 2 1
Direct
0.0000 0.0000 0.0000 Fe
0.5000 0.5000 0.5000 Bi
0.0000 0.5000 0.0000 N
0.5000 0.0000 0.0000 N
0.0000 0.0000 0.5000 O
```

=====

No. 3
FeBiN2O: optimized geometry, GGA+U.

Cell and atoms, written as POSCAR:
```
FeBiN2O
1.0
4.2845 0.0000 0.0000
0.0000 4.2845 0.0000
0.0000 0.0000 4.1608
Fe Bi N O
1 1 2 1
Direct
0.0000 0.0000 0.0000 Fe
0.5000 0.5000 0.5000 Bi
0.0000 0.5000 0.5000 N
0.5000 0.0000 0.5000 N
0.5000 0.5000 0.0000 O
```

=====

No. 4
FeBiNO2: optimized geometry, GGA+U.

Cell and atoms, written as POSCAR:
```
FeBiNO2
1.0
3.8395 0.0000 0.0000
0.0000 3.8395 0.0000
0.0000 0.0000 4.0500
Fe Bi N O
1 1 1 2
Direct
0.0000 0.0000 0.0000 Fe
0.5000 0.5000 0.5000 Bi
0.0000 0.0000 0.5000 N
0.0000 0.5000 0.0000 O
0.5000 0.0000 0.0000 O
```

=====

| no. | raw total energy (eV for the cell shown) |
| --- | --- |
| 1 | -25.727 |
| 2 | -28.741 |
| 3 | -23.999 |
| 4 | -29.318 |